Below is a relaxed Nd2ErCu crystal, with properties calculated at the PBE level.

CIF file:
```
data_Nd2ErCu
_space_group_name_H-M_alt 'P 1'
_space_group_IT_number 1
_cell_length_a 3.623
_cell_length_b 3.623
_cell_length_c 8.593
_cell_angle_alpha 90.00
_cell_angle_beta 90.00
_cell_angle_gamma 90.00
loop_
_space_group_symop_operation_xyz
'x,y,z'
loop_
_atom_site_label
_atom_site_type_symbol
_atom_site_fract_x
_atom_site_fract_y
_atom_site_fract_z
_atom_site_occupancy
Cu1 Cu 0.500 0.500 0.000 1
Er1 Er 0.500 0.500 0.500 1
Nd1 Nd 0.000 0.000 0.796 1
Nd2 Nd 0.000 0.000 0.204 1
```

Properties
The density of states at the Fermi level is 1.645 states/eV/atom. For the energy above the most stable polymorph in this dataset, the calculation gives 0.000 eV per atom. The calculation puts the density at 7.64 g cm⁻³. The symmetry is P4/mmm (123). The calculation puts the formation energy at -0.037 eV/atom. The spin magnetization comes out at 0.0 μB per formula unit.

=====

Below is a relaxed NdEr2Cu crystal, with properties calculated at the PBE level.

CIF file:
```
data_NdEr2Cu
_space_group_name_H-M_alt 'P 1'
_space_group_IT_number 1
_cell_length_a 3.495
_cell_length_b 3.495
_cell_length_c 8.700
_cell_angle_alpha 90.00
_cell_angle_beta 90.00
_cell_angle_gamma 90.00
loop_
_space_group_symop_operation_xyz
'x,y,z'
loop_
_atom_site_label
_atom_site_type_symbol
_atom_site_fract_x
_atom_site_fract_y
_atom_site_fract_z
_atom_site_occupancy
Nd1 Nd 0.500 0.500 0.500 1
Cu1 Cu 0.500 0.500 0.000 1
Er1 Er 0.000 0.000 0.809 1
Er2 Er 0.000 0.000 0.191 1
```

Properties
The density of states at the Fermi level is 1.021 states/eV/atom. For the energy above the most stable polymorph in this dataset, the calculation gives 0.000 eV per atom. The calculation puts the density at 8.48 g cm⁻³. The symmetry is P4/mmm (123). The calculation puts the formation energy at -0.112 eV/atom. The spin magnetization comes out at 0.0 μB per formula unit.

=====

Below is a relaxed NdErCu2 crystal, with properties calculated at the PBE level.

CIF file:
```
data_NdErCu2
_space_group_name_H-M_alt 'P 1'
_space_group_IT_number 1
_cell_length_a 4.134
_cell_length_b 4.134
_cell_length_c 7.077
_cell_angle_alpha 73.02
_cell_angle_beta 73.02
_cell_angle_gamma 60.00
loop_
_space_group_symop_operation_xyz
'x,y,z'
loop_
_atom_site_label
_atom_site_type_symbol
_atom_site_fract_x
_atom_site_fract_y
_atom_site_fract_z
_atom_site_occupancy
Cu1 Cu 0.743 0.743 0.772 1
Nd1 Nd 0.500 0.500 0.500 1
Er1 Er 0.000 0.000 0.000 1
Cu2 Cu 0.257 0.257 0.228 1
```

Properties
The density of states at the Fermi level is 1.242 states/eV/atom. For the energy above the most stable polymorph in this dataset, the calculation gives 0.229 eV per atom. The calculation puts the density at 7.39 g cm⁻³. The symmetry is R-3m (166). The calculation puts the formation energy at 0.015 eV/atom. The spin magnetization comes out at 0.0 μB per formula unit.

=====

Below is a relaxed NdErCuNi crystal, with properties calculated at the PBE level.

CIF file:
```
data_NdErCuNi
_space_group_name_H-M_alt 'P 1'
_space_group_IT_number 1
_cell_length_a 3.768
_cell_length_b 4.430
_cell_length_c 5.500
_cell_angle_alpha 90.00
_cell_angle_beta 110.03
_cell_angle_gamma 90.00
loop_
_space_group_symop_operation_xyz
'x,y,z'
loop_
_atom_site_label
_atom_site_type_symbol
_atom_site_fract_x
_atom_site_fract_y
_atom_site_fract_z
_atom_site_occupancy
Ni1 Ni 0.427 0.000 0.854 1
Nd1 Nd 0.142 0.000 0.284 1
Cu1 Cu 0.568 0.500 0.136 1
Er1 Er 0.863 0.500 0.726 1
```

Properties
The density of states at the Fermi level is 0.815 states/eV/atom. For the energy above the most stable polymorph in this dataset, the calculation gives 0.000 eV per atom. The calculation puts the density at 8.35 g cm⁻³. The symmetry is Amm2 (38). The calculation puts the formation energy at -0.302 eV/atom. The spin magnetization comes out at 0.0 μB per formula unit.

=====

Below is a relaxed NdErCuNi crystal, with properties calculated at the PBE level.

CIF file:
```
data_NdErCuNi
_space_group_name_H-M_alt 'P 1'
_space_group_IT_number 1
_cell_length_a 4.905
_cell_length_b 4.905
_cell_length_c 4.905
_cell_angle_alpha 60.00
_cell_angle_beta 60.00
_cell_angle_gamma 60.00
loop_
_space_group_symop_operation_xyz
'x,y,z'
loop_
_atom_site_label
_atom_site_type_symbol
_atom_site_fract_x
_atom_site_fract_y
_atom_site_fract_z
_atom_site_occupancy
Ni1 Ni 0.750 0.750 0.750 1
Cu1 Cu 0.250 0.250 0.250 1
Er1 Er 0.000 0.000 0.000 1
Nd1 Nd 0.500 0.500 0.500 1
```

Properties
The density of states at the Fermi level is 0.572 states/eV/atom. For the energy above the most stable polymorph in this dataset, the calculation gives 0.038 eV per atom. The calculation puts the density at 8.63 g cm⁻³. The symmetry is F-43m (216). The calculation puts the formation energy at -0.264 eV/atom. The spin magnetization comes out at 0.0 μB per formula unit.

=====

Below is a relaxed PmNdErCu crystal, with properties calculated at the PBE level.

CIF file:
```
data_PmNdErCu
_space_group_name_H-M_alt 'P 1'
_space_group_IT_number 1
_cell_length_a 3.555
_cell_length_b 3.555
_cell_length_c 8.733
_cell_angle_alpha 90.00
_cell_angle_beta 90.00
_cell_angle_gamma 90.00
loop_
_space_group_symop_operation_xyz
'x,y,z'
loop_
_atom_site_label
_atom_site_type_symbol
_atom_site_fract_x
_atom_site_fract_y
_atom_site_fract_z
_atom_site_occupancy
Nd1 Nd 0.000 0.000 0.079 1
Er1 Er 0.500 0.500 0.381 1
Cu1 Cu 0.000 0.000 0.556 1
Pm1 Pm 0.500 0.500 0.769 1
```

Properties
The density of states at the Fermi level is 0.979 states/eV/atom. The calculation puts the density at 7.82 g cm⁻³. The symmetry is P4mm (99). The calculation puts the formation energy at -0.089 eV/atom. The spin magnetization comes out at 0.0 μB per formula unit.

=====

Below is a relaxed NdErCuRh crystal, with properties calculated at the PBE level.

CIF file:
```
data_NdErCuRh
_space_group_name_H-M_alt 'P 1'
_space_group_IT_number 1
_cell_length_a 4.946
_cell_length_b 4.946
_cell_length_c 4.946
_cell_angle_alpha 60.00
_cell_angle_beta 60.00
_cell_angle_gamma 60.00
loop_
_space_group_symop_operation_xyz
'x,y,z'
loop_
_atom_site_label
_atom_site_type_symbol
_atom_site_fract_x
_atom_site_fract_y
_atom_site_fract_z
_atom_site_occupancy
Cu1 Cu 0.750 0.750 0.750 1
Nd1 Nd 0.000 0.000 0.000 1
Rh1 Rh 0.250 0.250 0.250 1
Er1 Er 0.500 0.500 0.500 1
```

Properties
The density of states at the Fermi level is 0.771 states/eV/atom. For the energy above the most stable polymorph in this dataset, the calculation gives 0.034 eV per atom. The calculation puts the density at 9.28 g cm⁻³. The symmetry is F-43m (216). The calculation puts the formation energy at -0.492 eV/atom. The spin magnetization comes out at 0.0 μB per formula unit.

=====

Below is a relaxed NdErCuRh crystal, with properties calculated at the PBE level.

CIF file:
```
data_NdErCuRh
_space_group_name_H-M_alt 'P 1'
_space_group_IT_number 1
_cell_length_a 3.830
_cell_length_b 4.410
_cell_length_c 5.595
_cell_angle_alpha 90.00
_cell_angle_beta 110.02
_cell_angle_gamma 90.00
loop_
_space_group_symop_operation_xyz
'x,y,z'
loop_
_atom_site_label
_atom_site_type_symbol
_atom_site_fract_x
_atom_site_fract_y
_atom_site_fract_z
_atom_site_occupancy
Er1 Er 0.866 0.500 0.731 1
Cu1 Cu 0.573 0.500 0.146 1
Rh1 Rh 0.418 0.000 0.836 1
Nd1 Nd 0.143 0.000 0.287 1
```

Properties
The density of states at the Fermi level is 0.728 states/eV/atom. For the energy above the most stable polymorph in this dataset, the calculation gives 0.000 eV per atom. The calculation puts the density at 8.94 g cm⁻³. The symmetry is Amm2 (38). The calculation puts the formation energy at -0.527 eV/atom. The spin magnetization comes out at 0.0 μB per formula unit.

=====

Below is a relaxed NdErCuRu crystal, with properties calculated at the PBE level.

CIF file:
```
data_NdErCuRu
_space_group_name_H-M_alt 'P 1'
_space_group_IT_number 1
_cell_length_a 4.917
_cell_length_b 4.917
_cell_length_c 4.917
_cell_angle_alpha 60.00
_cell_angle_beta 60.00
_cell_angle_gamma 60.00
loop_
_space_group_symop_operation_xyz
'x,y,z'
loop_
_atom_site_label
_atom_site_type_symbol
_atom_site_fract_x
_atom_site_fract_y
_atom_site_fract_z
_atom_site_occupancy
Ru1 Ru 0.750 0.750 0.750 1
Er1 Er 0.500 0.500 0.500 1
Nd1 Nd 0.000 0.000 0.000 1
Cu1 Cu 0.250 0.250 0.250 1
```

Properties
The density of states at the Fermi level is 0.790 states/eV/atom. For the energy above the most stable polymorph in this dataset, the calculation gives 0.000 eV per atom. The calculation puts the density at 9.40 g cm⁻³. The symmetry is F-43m (216). The calculation puts the formation energy at -0.252 eV/atom. The spin magnetization comes out at 0.0 μB per formula unit.

=====

Below is a relaxed NdErCuRu crystal, with properties calculated at the PBE level.

CIF file:
```
data_NdErCuRu
_space_group_name_H-M_alt 'P 1'
_space_group_IT_number 1
_cell_length_a 3.690
_cell_length_b 4.474
_cell_length_c 5.595
_cell_angle_alpha 90.00
_cell_angle_beta 109.25
_cell_angle_gamma 90.00
loop_
_space_group_symop_operation_xyz
'x,y,z'
loop_
_atom_site_label
_atom_site_type_symbol
_atom_site_fract_x
_atom_site_fract_y
_atom_site_fract_z
_atom_site_occupancy
Cu1 Cu 0.572 0.500 0.143 1
Ru1 Ru 0.420 0.000 0.839 1
Nd1 Nd 0.146 0.000 0.292 1
Er1 Er 0.863 0.500 0.725 1
```

Properties
The density of states at the Fermi level is 0.712 states/eV/atom. For the energy above the most stable polymorph in this dataset, the calculation gives 0.004 eV per atom. The calculation puts the density at 9.07 g cm⁻³. The symmetry is Amm2 (38). The calculation puts the formation energy at -0.248 eV/atom. The spin magnetization comes out at 0.0 μB per formula unit.

=====

Below is a relaxed NdErCu2S4 crystal, with properties calculated at the PBE level.

CIF file:
```
data_NdErCu2S4
_space_group_name_H-M_alt 'P 1'
_space_group_IT_number 1
_cell_length_a 6.492
_cell_length_b 6.024
_cell_length_c 6.024
_cell_angle_alpha 67.35
_cell_angle_beta 57.40
_cell_angle_gamma 57.40
loop_
_space_group_symop_operation_xyz
'x,y,z'
loop_
_atom_site_label
_atom_site_type_symbol
_atom_site_fract_x
_atom_site_fract_y
_atom_site_fract_z
_atom_site_occupancy
S1 S 0.450 0.084 0.526 1
Er1 Er 0.500 0.500 0.500 1
S2 S 0.939 0.526 0.084 1
S3 S 0.061 0.916 0.474 1
Cu1 Cu 0.832 0.668 0.668 1
Cu2 Cu 0.168 0.332 0.332 1
Nd1 Nd 0.000 0.000 0.000 1
S4 S 0.550 0.474 0.916 1
```

Properties
The density of states at the Fermi level is 0.103 states/eV/atom. The calculation puts the uncorrected formation energy at -1.203 eV/atom. The calculation puts the density at 5.68 g cm⁻³. The symmetry is I222 (23). The spin magnetization comes out at 0.0 μB per formula unit.

=====

Below is a relaxed NdErCu2Se4 crystal, with properties calculated at the PBE level.

CIF file:
```
data_NdErCu2Se4
_space_group_name_H-M_alt 'P 1'
_space_group_IT_number 1
_cell_length_a 6.797
_cell_length_b 6.319
_cell_length_c 6.319
_cell_angle_alpha 67.03
_cell_angle_beta 57.47
_cell_angle_gamma 57.47
loop_
_space_group_symop_operation_xyz
'x,y,z'
loop_
_atom_site_label
_atom_site_type_symbol
_atom_site_fract_x
_atom_site_fract_y
_atom_site_fract_z
_atom_site_occupancy
Se1 Se 0.066 0.916 0.465 1
Se2 Se 0.446 0.084 0.535 1
Se3 Se 0.934 0.535 0.084 1
Se4 Se 0.554 0.465 0.916 1
Cu1 Cu 0.845 0.655 0.655 1
Cu2 Cu 0.155 0.345 0.345 1
Nd1 Nd 0.000 0.000 0.000 1
Er1 Er 0.500 0.500 0.500 1
```

Properties
The density of states at the Fermi level is 0.104 states/eV/atom. The calculation puts the uncorrected formation energy at -1.048 eV/atom. The calculation puts the density at 6.56 g cm⁻³. The symmetry is I222 (23). The spin magnetization comes out at 0.0 μB per formula unit.